{
  "formula": "La3CeRh8",
  "functional": "PBE-GGA",
  "state": "relaxed",
  "cell": [[2.7131, 1.5664, 8.8498], [-2.7131, 1.5664, 8.8498], [0.0000, -3.1329, 8.8498]],
  "species": ["La", "La", "La", "Ce", "Rh", "Rh", "Rh", "Rh", "Rh", "Rh", "Rh", "Rh"],
  "frac_coords": [[0.0000, 0.0000, 0.0000], [0.1251, 0.1251, 0.1251], [0.6248, 0.6248, 0.6248], [0.5001, 0.5001, 0.5001], [0.0621, 0.0621, 0.5598], [0.0621, 0.5598, 0.0621], [0.0659, 0.5628, 0.5628], [0.3125, 0.3125, 0.3125], [0.5598, 0.0621, 0.0621], [0.5628, 0.0659, 0.5628], [0.5628, 0.5628, 0.0659], [0.8127, 0.8127, 0.8127]],
  "total_energy_ev_per_atom": -7.33,
  "formation_enthalpy_0k_mev_per_atom": -702,
  "density_g_cm3": 10.15,
  "vol_a3_per_fu": 225.67
}